Computed, not measured: a relaxed structure of MnP2O7 at the PBE+U level of DFT.

Values from the calculation:
The calculation puts the magnetic moment at 0.2902 μB/atom. For the volume, the calculation gives 512.98 Å³/cell. The value obtained for the total energy is -285.3 eV for the cell shown.

The structure in CIF format:
```
data_MnP2O7
_chemical_formula_sum 'Mn4 P8 O28'
_cell_length_a 8.005
_cell_length_b 8.005
_cell_length_c 8.005
_cell_angle_alpha 90.00
_cell_angle_beta 90.00
_cell_angle_gamma 90.00
_symmetry_space_group_name_H-M 'P a -3'
_symmetry_Int_Tables_number 205
_symmetry_space_group_name_Hall '-P 2ac 2ab 3'
loop_
_atom_site_label
_atom_site_type_symbol
_atom_site_fract_x
_atom_site_fract_y
_atom_site_fract_z
Mn1 Mn 0.000 0.000 0.000
P1 P 0.116 0.616 0.884
O1 O 0.000 0.000 0.500
O2 O 0.055 0.704 0.390
```